A plane-wave DFT calculation with PBE with a Hubbard U was carried out for a relaxed structure of Co3OsO.

a b c (Å): 4.6261 4.6261 4.6261
angles (deg): 90.00 90.00 90.00
With the nearest neighbours (Å) after each atom.
Element x y z (fractional)
Co  0.0000  0.0000  0.5000  2 Os 2.31
Co  0.0000  0.5000  0.0000  2 Os 2.31
Co  0.5000  0.0000  0.0000  2 Os 2.31
Os  0.0000  0.0000  0.0000  6 Co 2.31
O  0.5000  0.5000  0.5000  12 Co 3.27

The space-group type is Pm-3m, No. 221. The total magnetization comes out at 7.125 μB per formula unit. The excess energy over the best structure of this formula in the dataset is 1471 meV/atom.